Record 1
LiPrTm2In4: relaxed, PBE-GGA.

```
LiPrTm2In4
1.0
5.220 0.000 0.000
2.610 4.520 0.000
2.610 1.507 8.782
Li Pr Tm In
1 1 2 4
Cartesian
5.220 3.014 4.391
0.000 0.000 0.000
7.829 4.520 6.498
2.610 1.507 2.285
5.220 3.014 7.544
7.829 4.520 3.386
2.610 1.507 5.396
5.220 3.014 1.238
```

## Properties
Crystal system: trigonal
Total DFT energy (no corrections), eV/atom: -3.718
DFT formation energy, kJ per mole of atoms: -38

***

Record 2
LiPrTmIn: relaxed, PBE-GGA.

```
LiPrTmIn
1.0
5.349 0.000 0.000
2.674 4.632 0.000
2.674 1.544 4.367
Pr Tm Li In
1 1 1 1
Cartesian
2.674 1.544 1.092
8.023 4.632 3.275
0.000 0.000 0.000
5.349 3.088 2.184
```

## Properties
Crystal system: cubic
Total DFT energy (no corrections), eV/atom: -3.727
DFT formation energy, kJ per mole of atoms: -24

***

- Which value of total DFT energy (no corrections) does entry 2 give?
  -3.727 eV/atom

***

- Among the records above, which one has the lowest total DFT energy (no corrections)?
  LiPrTmIn

***

- Among the records above, which one has the lowest total DFT energy (no corrections)?
  LiPrTmIn

***

- Number 2 is which compound?
  LiPrTmIn